# 1
# MgSc12Ni6

Crystalline MgSc12Ni6 at its relaxed geometry (PBE, Alexandria).

POSCAR file:
```
MgSc12Ni6
1.0
-5.671 -5.461 0.065
5.854 -2.238 4.766
-2.938 6.865 2.496
Ni Mg Sc
6 1 12
Direct
0.500 0.130 0.630
0.500 0.870 0.370
0.370 0.500 0.870
0.870 0.370 0.500
0.130 0.630 0.500
0.630 0.500 0.130
0.000 0.000 0.000
0.812 0.701 0.513
0.513 0.812 0.701
0.701 0.889 0.188
0.812 0.299 0.111
0.188 0.299 0.487
0.299 0.111 0.812
0.701 0.513 0.812
0.487 0.188 0.299
0.111 0.812 0.299
0.889 0.188 0.701
0.188 0.701 0.889
0.299 0.487 0.188
```

Properties
The calculation puts the mass density at 4.048 g cm⁻³. The energy of formation from the pure elements comes out at -0.300 eV per atom. For the total energy, the calculation gives -117.97 eV/cell. As for the volume: 375.7 Å³/f.u. The value obtained for the density of states at the Fermi level is 31.947 states/eV/cell. As for the space group: Im-3.

=====

# 2
# Sm5MgAl4

Crystalline Sm5MgAl4 at its relaxed geometry (PBE, Alexandria).

POSCAR file:
```
Sm5MgAl4
1.0
3.700 0.000 0.000
0.000 3.700 0.000
0.000 0.000 18.752
Al Mg Sm
4 1 5
Direct
0.000 0.000 0.403
0.000 0.000 0.795
0.000 0.000 0.597
0.000 0.000 0.205
0.000 0.000 0.000
0.500 0.500 0.110
0.500 0.500 0.695
0.500 0.500 0.890
0.500 0.500 0.305
0.500 0.500 0.500
```

Properties
The calculation puts the mass density at 5.719 g cm⁻³. The energy of formation from the pure elements comes out at -0.319 eV per atom. For the total energy, the calculation gives -43.35 eV/cell. As for the volume: 256.7 Å³/f.u. The value obtained for the density of states at the Fermi level is 6.381 states/eV/cell. As for the space group: P4/mmm.

=====

Question: Which value of volume does entry 2 give?
Answer: 256.7 Å³/f.u.

=====

Question: Which of these has the highest energy of formation from the pure elements?
Answer: MgSc12Ni6